Entry 1:
The following is a PBE calculation of a relaxed Pr2Nd3Y4 crystal, from the Alexandria database. Values from VASP.

Summary:
distance to the lowest polymorph of the same formula: 0.98 eV/f.u.
energy of formation from the pure elements: 0.20 eV/atom

Geometry as Quantum ESPRESSO input:
```
&SYSTEM
  ibrav = 0, nat = 9, ntyp = 3
/
ATOMIC_SPECIES
Pr 140.91 Pr.upf
Nd 144.24 Nd.upf
Y 88.91 Y.upf
ATOMIC_POSITIONS angstrom
Pr 5.191 0.613 3.340
Pr 8.127 -1.421 8.497
Nd 0.000 0.000 0.000
Nd 8.987 1.552 6.565
Nd 4.331 -2.360 5.272
Y 2.084 -1.310 2.602
Y 2.375 0.487 5.547
Y 10.943 -1.295 6.290
Y 11.234 0.503 9.235
CELL_PARAMETERS angstrom
-0.613 -0.897 4.922
3.625 -4.472 2.217
10.306 4.562 4.697
```

Entry 2:
The following is a PBE calculation of a relaxed PrNd12Y7 crystal, from the Alexandria database. Values from VASP.

Summary:
distance to the lowest polymorph of the same formula: 0.00 eV/f.u.
energy of formation from the pure elements: 0.09 eV/atom

Geometry as Quantum ESPRESSO input:
```
&SYSTEM
  ibrav = 0, nat = 20, ntyp = 3
/
ATOMIC_SPECIES
Pr 140.91 Pr.upf
Y 88.91 Y.upf
Nd 144.24 Nd.upf
ATOMIC_POSITIONS angstrom
Pr 0.000 0.000 0.000
Y -0.594 -0.791 5.675
Y -0.474 5.702 8.559
Y -0.595 5.542 1.456
Y 5.489 0.970 1.456
Y 5.610 1.130 8.559
Y 2.507 3.336 5.007
Y 5.609 7.464 4.339
Nd 5.341 4.156 3.042
Nd 2.311 0.057 3.353
Nd 2.507 0.386 6.973
Nd 2.309 3.074 1.344
Nd 2.508 6.286 3.042
Nd -0.326 2.516 6.973
Nd 2.704 6.615 6.661
Nd 2.706 3.598 8.671
Nd -0.588 2.234 3.354
Nd 5.341 1.206 5.008
Nd 5.602 4.439 6.660
Nd -0.326 5.466 5.007
CELL_PARAMETERS angstrom
8.885 0.557 0.837
-1.935 8.690 0.837
-1.935 -2.575 8.341
```

Entry 3:
The following is a PBE calculation of a relaxed Pr12Nd6Y crystal, from the Alexandria database. Values from VASP.

Summary:
distance to the lowest polymorph of the same formula: 3.19 eV/f.u.
energy of formation from the pure elements: 0.29 eV/atom

Geometry as Quantum ESPRESSO input:
```
&SYSTEM
  ibrav = 0, nat = 19, ntyp = 3
/
ATOMIC_SPECIES
Pr 140.91 Pr.upf
Y 88.91 Y.upf
Nd 144.24 Nd.upf
ATOMIC_POSITIONS angstrom
Pr -2.478 5.234 4.930
Pr 1.971 7.002 -2.483
Pr 4.632 5.234 -2.997
Pr 0.337 0.380 7.454
Pr 6.710 2.807 -2.483
Pr -0.527 7.438 -0.473
Pr 7.224 -1.387 2.228
Pr 2.998 -1.387 6.940
Pr -1.741 2.807 6.940
Pr 7.447 0.380 -0.473
Pr 5.496 -1.824 4.930
Pr -2.255 7.002 2.228
Y 0.000 0.000 0.000
Nd 1.240 4.545 3.911
Nd 4.022 4.545 0.809
Nd 4.360 1.783 3.911
Nd 0.609 3.832 0.546
Nd 3.729 1.070 0.546
Nd 0.947 1.070 3.648
CELL_PARAMETERS angstrom
9.515 -1.805 -2.644
-2.948 9.225 -2.644
-1.598 -1.805 9.746
```

Entry 4:
The following is a PBE calculation of a relaxed Pr3Nd2Y5 crystal, from the Alexandria database. Values from VASP.

Summary:
distance to the lowest polymorph of the same formula: 0.00 eV/f.u.
energy of formation from the pure elements: 0.17 eV/atom

Geometry as Quantum ESPRESSO input:
```
&SYSTEM
  ibrav = 0, nat = 20, ntyp = 3
/
ATOMIC_SPECIES
Y 88.91 Y.upf
Nd 144.24 Nd.upf
Pr 140.91 Pr.upf
ATOMIC_POSITIONS angstrom
Y 2.680 0.344 6.000
Y 5.380 3.299 -3.081
Y 3.111 6.452 -1.543
Y 0.411 3.497 7.539
Y 0.041 3.014 1.194
Y 3.427 1.115 2.559
Y -0.674 2.193 4.683
Y 5.750 3.781 3.264
Y 2.364 5.680 1.899
Y 6.466 4.603 -0.226
Nd -2.520 8.206 -0.283
Nd 5.627 1.206 -0.183
Nd 0.164 5.589 4.641
Nd 8.311 -1.411 4.741
Pr 2.543 3.576 4.710
Pr 3.473 7.013 4.817
Pr 5.962 0.639 4.752
Pr -0.171 6.157 -0.294
Pr 2.318 -0.218 -0.359
Pr 3.248 3.219 -0.253
CELL_PARAMETERS angstrom
8.797 -1.440 -2.686
-2.700 8.440 -2.829
-0.306 -0.205 9.972
```

Entry 5:
The following is a PBE calculation of a relaxed Pr5Nd2Y5 crystal, from the Alexandria database. Values from VASP.

Summary:
energy of formation from the pure elements: 0.01 eV/atom

Geometry as Quantum ESPRESSO input:
```
&SYSTEM
  ibrav = 0, nat = 12, ntyp = 3
/
ATOMIC_SPECIES
Y 88.91 Y.upf
Nd 144.24 Nd.upf
Pr 140.91 Pr.upf
ATOMIC_POSITIONS angstrom
Y 0.167 -2.922 2.175
Y 1.665 -2.816 8.312
Y 3.163 -2.709 14.449
Y 0.502 0.383 9.650
Y 2.828 -6.014 6.975
Nd 0.651 -2.524 11.817
Nd 2.679 -3.107 4.807
Pr 1.511 0.105 6.151
Pr 4.175 -2.969 10.967
Pr 0.000 0.000 0.000
Pr 1.819 -5.736 10.474
Pr -0.845 -2.662 5.657
CELL_PARAMETERS angstrom
-3.352 -2.484 3.025
3.845 -6.288 3.486
2.838 3.141 10.113
```

Entry 6:
The following is a PBE calculation of a relaxed PrNd2Y7 crystal, from the Alexandria database. Values from VASP.

Summary:
distance to the lowest polymorph of the same formula: 0.00 eV/f.u.
energy of formation from the pure elements: 0.40 eV/atom

Geometry as Quantum ESPRESSO input:
```
&SYSTEM
  ibrav = 0, nat = 10, ntyp = 3
/
ATOMIC_SPECIES
Y 88.91 Y.upf
Nd 144.24 Nd.upf
Pr 140.91 Pr.upf
ATOMIC_POSITIONS angstrom
Y -7.799 1.351 -1.008
Y -10.292 -0.286 0.377
Y -5.307 2.989 -2.393
Y -9.153 3.827 -2.891
Y -5.818 -0.388 -2.972
Y -9.781 3.091 0.955
Y -6.446 -1.125 0.874
Nd -7.217 5.206 -0.347
Nd -8.382 -2.504 -1.669
Pr 0.000 0.000 0.000
CELL_PARAMETERS angstrom
-3.267 1.248 -4.400
-7.018 -4.912 0.225
-5.314 6.367 2.158
```

Mass density for every record listed, in sequence, given in g cm⁻³: 5.517; 6.007; 6.298; 5.588; 5.789; 4.744.